# Co2SbO6, optimized geometry, DFT GGA+U
data_Co2SbO6
_chemical_formula_sum 'Co8 Sb4 O24'
_cell_length_a 8.8446
_cell_length_b 5.0930
_cell_length_c 10.0724
_cell_angle_alpha 90.00
_cell_angle_beta 90.00
_cell_angle_gamma 90.00
_space_group_name_H-M_alt 'C m c e'
_space_group_IT_number 64
_space_group_name_Hall '-C 2ac 2'
loop_
_atom_site_label
_atom_site_fract_x
_atom_site_fract_y
_atom_site_fract_z
Co1 0.1666 0.0000 0.0000
Sb1 0.0000 0.0000 0.5000
O1 0.0000 0.1500 0.0964
O2 0.1749 0.1754 0.4046
# DOS at the Fermi energy in states/eV/f.u.: 3.8
# Total DFT energy (no corrections) in eV per atom: -5.8427